{
  "formula": "Sb2PdWF",
  "functional": "PBE with a Hubbard U",
  "state": "relaxed",
  "lattice": [[5.089, 0.000, 0.000], [0.000, 5.089, 0.000], [0.000, 0.000, 5.346]],
  "species": ["Sb", "Sb", "Pd", "W", "F"],
  "frac_coords": [[0.000, 0.500, 0.000], [0.500, 0.000, 0.000], [0.000, 0.000, 0.000], [0.000, 0.000, 0.500], [0.500, 0.500, 0.500]],
  "final_energy_ev_per_atom": -3.905
}